Record 1
Ba2InIrPd | GGA-PBE | optimized geometry

abc: 6.371 6.371 4.872
angles: 90.00 90.00 90.00
Space group P4/mmm (No. 123)
Inequivalent atoms, fractional coordinates:
Ba (0.000, 0.500, 0.000) x2
In (0.000, 0.000, 0.000) x1
Ir (0.500, 0.500, 0.500) x1
Pd (0.000, 0.000, 0.500) x1

Computed properties:
The energy of formation comes out at 0.666 eV/atom.

Record 2
Ga4Ni5Ir4 | GGA-PBE | optimized geometry

abc: 9.428 9.428 3.825
angles: 90.00 90.00 90.00
Space group I4/m (No. 87)
Inequivalent atoms, fractional coordinates:
Ga (0.139, 0.220, 0.000) x8
Ni (0.000, 0.000, 0.000) x2
Ni (0.045, 0.817, 0.500) x8
Ir (0.090, 0.615, 0.000) x8

Computed properties:
The energy of formation comes out at -0.248 eV/atom.

Record 3
HfHIr2 | GGA-PBE | optimized geometry

abc: 5.609 5.609 7.070
angles: 90.00 90.00 90.00
Space group I-42d (No. 122)
Inequivalent atoms, fractional coordinates:
Hf (0.000, 0.000, 0.000) x4
H (0.000, 0.000, 0.500) x4
Ir (0.101, 0.250, 0.625) x8

Computed properties:
The calculation puts the relative energy among the computed polymorphs at 0.000 eV per formula unit.

Record 4
Ho2BeZnCu6 | GGA-PBE | optimized geometry

abc: 5.868 5.881 6.406
angles: 63.04 62.79 60.08
Space group P-1 (No. 2)
Inequivalent atoms, fractional coordinates:
Ho (0.219, 0.220, 0.342) x2
Be (0.000, 0.000, 0.000) x1
Zn (0.500, 0.500, 0.500) x1
Cu (0.241, 0.240, 0.847) x2
Cu (0.241, 0.666, 0.852) x2
Cu (0.329, 0.762, 0.152) x2

Computed properties:
The energy of formation comes out at -0.082 eV/atom.

Record-wise total DFT energy (no corrections) values, in eV/atom: -3.462; -6.129; -8.021; -3.955
Record-wise magnetization values, in μB per cell: 0.857; 0.001; 0.000; 0.000
Record-wise density values, in g/cm3: 5.8; 13.1; 16.8; 8.0